# 1
Density functional theory data (PBE) for crystalline VMoRu2 at its relaxed geometry.

a = 2.878 Å, b = 2.878 Å, c = 6.913 Å
α = 90.00°, β = 90.00°, γ = 90.00°
Sites, in units of the cell vectors:
1 V 0.000 0.000 0.000
2 Mo 0.000 0.000 0.500
3 Ru 0.500 0.500 0.223
4 Ru 0.500 0.500 0.777

Output
- crystal system = tetragonal
- DOS at the Fermi energy (states/eV/f.u.) = 2.13
- ΔE_f (eV per atom) = -0.102
- SG = P4/mmm
- total magnetization (μB/atom) = 0.00
- raw total energy (eV/f.u.) = -38.908
- offset from the most stable computed form (meV/atom) = 0



# 2
Density functional theory data (PBE) for crystalline V3Mo2Ru at its relaxed geometry.

a = 3.050 Å, b = 3.050 Å, c = 9.198 Å
α = 90.00°, β = 90.00°, γ = 90.00°
Sites, in units of the cell vectors:
1 V 0.000 0.000 0.000
2 V 0.000 0.000 0.334
3 V 0.000 0.000 0.666
4 Mo 0.500 0.500 0.169
5 Mo 0.500 0.500 0.831
6 Ru 0.500 0.500 0.500

Output
- crystal system = tetragonal
- DOS at the Fermi energy (states/eV/f.u.) = 3.99
- ΔE_f (eV per atom) = -0.212
- SG = P4/mmm
- total magnetization (μB/atom) = 0.00
- raw total energy (eV/f.u.) = -59.568
- offset from the most stable computed form (meV/atom) = 17



# 3
Density functional theory data (PBE) for crystalline VMoRu2 at its relaxed geometry.

a = 3.899 Å, b = 3.899 Å, c = 3.774 Å
α = 90.00°, β = 90.00°, γ = 90.00°
Sites, in units of the cell vectors:
1 V 0.000 0.000 0.000
2 Mo 0.500 0.500 0.000
3 Ru 0.000 0.500 0.500
4 Ru 0.500 0.000 0.500

Output
- crystal system = tetragonal
- DOS at the Fermi energy (states/eV/f.u.) = 5.41
- ΔE_f (eV per atom) = -0.018
- SG = P4/mmm
- total magnetization (μB/atom) = 0.00
- raw total energy (eV/f.u.) = -38.575
- offset from the most stable computed form (meV/atom) = 83



# 4
Density functional theory data (PBE) for crystalline V6Mo12Ru at its relaxed geometry.

a = 7.301 Å, b = 7.301 Å, c = 7.301 Å
α = 110.13°, β = 110.13°, γ = 110.13°
Sites, in units of the cell vectors:
1 V 0.066 0.363 0.560
2 V 0.363 0.560 0.066
3 V 0.440 0.934 0.637
4 V 0.560 0.066 0.363
5 V 0.637 0.440 0.934
6 V 0.934 0.637 0.440
7 Mo 0.078 0.732 0.194
8 Mo 0.194 0.078 0.732
9 Mo 0.204 0.468 0.311
10 Mo 0.268 0.806 0.922
11 Mo 0.311 0.204 0.468
12 Mo 0.468 0.311 0.204
13 Mo 0.532 0.689 0.796
14 Mo 0.689 0.796 0.532
15 Mo 0.732 0.194 0.078
16 Mo 0.796 0.532 0.689
17 Mo 0.806 0.922 0.268
18 Mo 0.922 0.268 0.806
19 Ru 0.000 0.000 0.000

Output
- crystal system = trigonal
- DOS at the Fermi energy (states/eV/f.u.) = 23.58
- ΔE_f (eV per atom) = 0.253
- SG = R-3
- total magnetization (μB/atom) = 0.00
- raw total energy (eV/f.u.) = -189.153



# 5
Density functional theory data (PBE) for crystalline VMoRu at its relaxed geometry.

a = 3.699 Å, b = 3.699 Å, c = 6.678 Å
α = 90.00°, β = 90.00°, γ = 90.00°
Sites, in units of the cell vectors:
1 V 0.250 0.750 0.000
2 V 0.750 0.250 0.000
3 Mo 0.250 0.250 0.349
4 Mo 0.750 0.750 0.651
5 Ru 0.250 0.250 0.719
6 Ru 0.750 0.750 0.281

Output
- crystal system = tetragonal
- DOS at the Fermi energy (states/eV/f.u.) = 3.25
- ΔE_f (eV per atom) = 0.279
- SG = P4/nmm
- total magnetization (μB/atom) = 0.00
- raw total energy (eV/f.u.) = -28.387
- offset from the most stable computed form (meV/atom) = 403



# 6
Density functional theory data (PBE) for crystalline VMo2Ru at its relaxed geometry.

a = 3.687 Å, b = 3.687 Å, c = 4.428 Å
α = 90.00°, β = 90.00°, γ = 90.00°
Sites, in units of the cell vectors:
1 V 0.000 0.000 0.000
2 Mo 0.000 0.500 0.500
3 Mo 0.500 0.000 0.500
4 Ru 0.500 0.500 0.000

Output
- crystal system = tetragonal
- DOS at the Fermi energy (states/eV/f.u.) = 5.62
- ΔE_f (eV per atom) = 0.134
- SG = P4/mmm
- total magnetization (μB/atom) = 0.00
- raw total energy (eV/f.u.) = -39.522
- offset from the most stable computed form (meV/atom) = 164